Run a
First-principles (GGA-PBE) data for a relaxed structure of NaHgH2, as listed in the Alexandria database.

Computed properties:
DOS at the Fermi energy   0.162 states/eV/atom

Lattice parameters (Å, degrees): 4.224 4.224 4.224 60.00 60.00 60.00
Element x y z (fractional)
H (0.750, 0.750, 0.750)
H (0.250, 0.250, 0.250)
Na (0.000, 0.000, 0.000)
Hg (0.500, 0.500, 0.500)

Run b
First-principles (GGA-PBE) data for a relaxed structure of NaHgH2, as listed in the Alexandria database.

Computed properties:
DOS at the Fermi energy   0.225 states/eV/atom

Lattice parameters (Å, degrees): 6.435 3.494 5.780 89.98 90.00 90.00
Element x y z (fractional)
H (0.518, 0.000, 0.751)
H (0.018, 0.000, 0.249)
H (0.482, 0.000, 0.249)
H (0.982, 0.000, 0.751)
Hg (0.750, 0.000, 0.248)
Hg (0.250, 0.000, 0.752)
Na (0.750, 0.500, 0.748)
Na (0.250, 0.500, 0.252)

Run c
First-principles (GGA-PBE) data for a relaxed structure of NaHgH2, as listed in the Alexandria database.

Computed properties:
DOS at the Fermi energy   0.133 states/eV/atom

Lattice parameters (Å, degrees): 4.661 4.661 6.628 69.42 69.42 90.00
Element x y z (fractional)
Hg (0.000, 0.000, 0.000)
Hg (0.750, 0.250, 0.500)
H (0.050, 0.625, 0.250)
H (0.700, 0.125, 0.250)
H (0.375, 0.300, 0.750)
H (0.875, 0.950, 0.750)
Na (0.250, 0.750, 0.500)
Na (0.500, 0.500, 0.000)

run c takes first place; second place is 19 meV/atom up.

Run a
First-principles (GGA-PBE) data for a relaxed structure of Na2HgH2, as listed in the Alexandria database.

Computed properties:
DOS at the Fermi energy   0.010 states/eV/atom

Lattice parameters (Å, degrees): 7.055 7.055 3.164 90.00 90.00 90.00
Element x y z (fractional)
Na (0.849, 0.349, 0.500)
Na (0.349, 0.151, 0.500)
Na (0.151, 0.651, 0.500)
Na (0.651, 0.849, 0.500)
H (0.146, 0.354, 0.000)
H (0.354, 0.854, 0.000)
H (0.646, 0.146, 0.000)
H (0.854, 0.646, 0.000)
Hg (0.000, 0.000, 0.000)
Hg (0.500, 0.500, 0.000)

Run b
First-principles (GGA-PBE) data for a relaxed structure of Na2HgH2, as listed in the Alexandria database.

Computed properties:
DOS at the Fermi energy   0.000 states/eV/atom

Lattice parameters (Å, degrees): 4.337 4.337 6.247 69.69 69.69 90.00
Element x y z (fractional)
Na (0.303, 0.303, 0.394)
Na (0.697, 0.697, 0.606)
H (0.250, 0.750, 0.500)
H (0.750, 0.250, 0.500)
Hg (0.000, 0.000, 0.000)

run b takes first place; second place is 66 meV/atom up.

Run a
First-principles (GGA-PBE) data for a relaxed structure of Na2HgH, as listed in the Alexandria database.

Computed properties:
DOS at the Fermi energy   0.162 states/eV/atom

Lattice parameters (Å, degrees): 3.147 3.147 7.865 90.00 90.00 90.00
Element x y z (fractional)
Na (0.000, 0.000, 0.812)
Na (0.000, 0.000, 0.188)
H (0.500, 0.500, 0.000)
Hg (0.500, 0.500, 0.500)

Run b
First-principles (GGA-PBE) data for a relaxed structure of Na2HgH, as listed in the Alexandria database.

Computed properties:
DOS at the Fermi energy   0.458 states/eV/atom

Lattice parameters (Å, degrees): 7.227 7.227 6.128 53.86 53.86 90.00
Element x y z (fractional)
Hg (0.000, 0.000, 0.000)
Hg (0.750, 0.250, 0.500)
Na (0.375, 0.481, 0.750)
Na (0.875, 0.769, 0.750)
Na (0.519, 0.125, 0.250)
Na (0.231, 0.625, 0.250)
H (0.250, 0.750, 0.500)
H (0.500, 0.500, 0.000)

Run c
First-principles (GGA-PBE) data for a relaxed structure of Na2HgH, as listed in the Alexandria database.

Computed properties:
DOS at the Fermi energy   0.110 states/eV/atom

Lattice parameters (Å, degrees): 3.412 3.412 8.285 78.11 78.11 60.00
Element x y z (fractional)
Hg (0.500, 0.500, 0.500)
Na (0.274, 0.274, 0.178)
Na (0.060, 0.060, 0.821)
H (0.667, 0.667, 0.000)

Run d
First-principles (GGA-PBE) data for a relaxed structure of Na2HgH, as listed in the Alexandria database.

Computed properties:
DOS at the Fermi energy   0.335 states/eV/atom

Lattice parameters (Å, degrees): 5.034 5.034 5.034 60.00 60.00 60.00
Element x y z (fractional)
Hg (0.500, 0.500, 0.500)
Na (0.250, 0.250, 0.250)
Na (0.750, 0.750, 0.750)
H (0.000, 0.000, 0.000)

run c takes first place; second place is 50 meV/atom up.